SrRh3 (PBE, relaxed); crystal system = tetragonal; E_form = 297 meV per atom; energy = -0.2071 hartree per atom
1.0
4.869 0.000 0.000
0.000 4.869 0.000
0.000 0.000 2.970
Rh Sr
3 1
Direct
0.000 0.000 0.000
0.500 0.000 0.500
0.500 0.500 0.000
0.000 0.500 0.500